<i>
Entry from Alexandria: CuPtRh2 at its PBEsol-relaxed geometry (SCAN).

Values from the calculation:
* magnetic moment: 0.32 μB per atom

Cell: 4.2570 4.2570 4.2570 Å, 60.00 60.00 60.00°
Closest atoms and distances in Å follow each position.
Atoms (fractional coordinates):
Rh  0.0000  0.0000  0.0000  4 Rh 2.61, 4 Pt 2.61
Cu  0.5000  0.5000  0.5000  4 Pt 2.61, 4 Rh 2.61
Rh  0.7500  0.7500  0.7500  4 Cu 2.61, 4 Rh 2.61
Pt  0.2500  0.2500  0.2500  4 Rh 2.61, 4 Cu 2.61

---

<ii>
Entry from Alexandria: CuPtRh2 at its PBEsol-relaxed geometry (SCAN).

Values from the calculation:
* magnetic moment: 0.00 μB per atom

Cell: 2.6940 2.6940 7.3806 Å, 90.00 90.00 90.00°
Closest atoms and distances in Å follow each position.
Atoms (fractional coordinates):
Pt  0.5000  0.5000  0.7436  4 Cu 2.64, 4 Pt 2.69, 4 Rh 2.73
Cu  0.0000  0.0000  0.4958  4 Rh 2.62, 4 Pt 2.64, 4 Cu 2.69
Rh  0.5000  0.5000  0.2522  4 Cu 2.62, 8 Rh 2.62-2.69
Rh  0.0000  0.0000  0.0084  8 Rh 2.62-2.69, 4 Pt 2.73

---

<iii>
Entry from Alexandria: CuPtRh2 at its PBEsol-relaxed geometry (SCAN).

Values from the calculation:
* magnetic moment: 0.00 μB per atom

Cell: 2.6829 2.6829 8.7808 Å, 81.21 81.21 60.00°
Closest atoms and distances in Å follow each position.
Atoms (fractional coordinates):
Rh  0.7513  0.7513  0.7462  3 Cu 2.60, 9 Rh 2.63-2.68
Cu  0.4986  0.4986  0.5041  3 Rh 2.60, 3 Pt 2.64, 6 Cu 2.68
Pt  0.2477  0.2477  0.2570  3 Cu 2.64, 6 Pt 2.68, 3 Rh 2.76
Rh  0.0024  0.0024  0.9927  9 Rh 2.63-2.68, 3 Pt 2.76

---

Tell me which of them is the least stable. Sure, it is <i>.

---

<i>
Entry from Alexandria: CuPtRh2 at its PBEsol-relaxed geometry (SCAN).

Values from the calculation:
* magnetic moment: 0.00 μB per atom

Cell: 2.6885 4.6005 4.6260 Å, 99.98 90.00 106.99°
Closest atoms and distances in Å follow each position.
Atoms (fractional coordinates):
Rh  0.9982  0.9964  0.9881  5 Rh 2.61-2.69, 4 Cu 2.64-2.71, 3 Pt 2.70-2.71
Pt  0.7498  0.4996  0.2581  3 Cu 2.63-2.65, 7 Rh 2.67-2.71, 2 Pt 2.69
Rh  0.2511  0.5023  0.7571  5 Rh 2.61-2.69, 4 Pt 2.67-2.68, 3 Cu 2.67-2.69
Cu  0.5009  0.0018  0.4967  3 Pt 2.63-2.65, 7 Rh 2.64-2.71, 2 Cu 2.69

---

<ii>
Entry from Alexandria: CuPtRh2 at its PBEsol-relaxed geometry (SCAN).

Values from the calculation:
* magnetic moment: 0.00 μB per atom

Cell: 3.7466 3.7466 3.8287 Å, 90.00 90.00 90.00°
Closest atoms and distances in Å follow each position.
Atoms (fractional coordinates):
Rh  0.5000  0.0000  0.0000  4 Rh 2.65, 4 Cu 2.68, 4 Pt 2.68
Cu  0.5000  0.5000  0.5000  4 Pt 2.65, 8 Rh 2.68
Pt  0.0000  0.0000  0.5000  4 Cu 2.65, 8 Rh 2.68
Rh  0.0000  0.5000  0.0000  4 Rh 2.65, 4 Cu 2.68, 4 Pt 2.68

---

<iii>
Entry from Alexandria: CuPtRh2 at its PBEsol-relaxed geometry (SCAN).

Values from the calculation:
* magnetic moment: 0.00 μB per atom

Cell: 2.6926 4.4786 4.5251 Å, 90.00 90.00 90.00°
Closest atoms and distances in Å follow each position.
Atoms (fractional coordinates):
Cu  0.5000  0.0000  0.5000  4 Pt 2.61, 4 Rh 2.63, 2 Cu 2.69
Pt  0.0000  0.5000  0.5000  4 Cu 2.61, 4 Rh 2.63, 2 Pt 2.69
Rh  0.0000  0.0000  0.0000  6 Rh 2.61-2.69, 4 Cu 2.63
Rh  0.5000  0.5000  0.0000  6 Rh 2.61-2.69, 4 Pt 2.63

---

Tell me which of them is the least stable. Sure, it is <iii>.

---

<i>
Entry from Alexandria: CuPtRh2 at its PBEsol-relaxed geometry (SCAN).

Values from the calculation:
* magnetic moment: 0.00 μB per atom

Cell: 2.6913 3.7447 5.3294 Å, 90.00 89.99 90.00°
Closest atoms and distances in Å follow each position.
Atoms (fractional coordinates):
Cu  0.9998  0.0000  0.4995  6 Rh 2.61-2.72, 4 Pt 2.65, 2 Cu 2.69
Pt  0.5001  0.5000  0.7434  6 Rh 2.64-2.71, 4 Cu 2.65, 2 Pt 2.69
Rh  0.5000  0.5000  0.2478  6 Rh 2.63-2.69, 2 Pt 2.64-2.69, 4 Cu 2.67
Rh  0.0001  0.0000  0.0093  2 Cu 2.61-2.72, 6 Rh 2.63-2.69, 4 Pt 2.71

---

<ii>
Entry from Alexandria: CuPtRh2 at its PBEsol-relaxed geometry (SCAN).

Values from the calculation:
* magnetic moment: 0.00 μB per atom

Cell: 3.7815 3.7815 4.6020 Å, 114.26 114.26 90.00°
Closest atoms and distances in Å follow each position.
Atoms (fractional coordinates):
Cu  0.0000  0.0000  0.0000  8 Rh 2.66-2.67, 4 Pt 2.66
Rh  0.7500  0.2500  0.5000  4 Cu 2.66, 4 Rh 2.66, 4 Pt 2.67
Pt  0.2500  0.7500  0.5000  8 Rh 2.66-2.67, 4 Cu 2.66
Rh  0.5000  0.5000  0.0000  4 Rh 2.66, 4 Pt 2.66, 4 Cu 2.67

---

Tell me which of them is the least stable. Sure, it is <i>.

---

<i>
Entry from Alexandria: CuPtRh2 at its PBEsol-relaxed geometry (SCAN).

Values from the calculation:
* magnetic moment: 0.00 μB per atom

Cell: 2.6689 4.6440 4.6440 Å, 110.35 90.00 90.00°
Closest atoms and distances in Å follow each position.
Atoms (fractional coordinates):
Pt  0.5000  0.5000  0.5000  2 Cu 2.65, 2 Pt 2.67, 8 Rh 2.68
Rh  0.0000  0.5000  0.0000  4 Rh 2.65-2.67, 4 Cu 2.68, 4 Pt 2.68
Cu  0.5000  0.0000  0.0000  2 Pt 2.65, 2 Cu 2.67, 8 Rh 2.68
Rh  0.0000  0.0000  0.5000  4 Rh 2.65-2.67, 4 Pt 2.68, 4 Cu 2.68

---

<ii>
Entry from Alexandria: CuPtRh2 at its PBEsol-relaxed geometry (SCAN).

Values from the calculation:
* magnetic moment: 0.00 μB per atom

Cell: 2.6836 4.6006 4.6181 Å, 99.73 106.89 90.00°
Closest atoms and distances in Å follow each position.
Atoms (fractional coordinates):
Rh  0.2496  0.2459  0.4992  6 Rh 2.63-2.69, 3 Cu 2.66, 3 Pt 2.67
Rh  0.7504  0.7541  0.5008  6 Rh 2.63-2.69, 3 Cu 2.66, 3 Pt 2.67
Pt  0.0000  0.5000  0.0000  4 Cu 2.66, 6 Rh 2.67, 2 Pt 2.68
Cu  0.5000  0.0000  0.0000  6 Rh 2.66, 4 Pt 2.66, 2 Cu 2.68

---

Tell me which of them is the least stable. Sure, it is <i>.